Density functional theory data (meta-GGA SCAN) for a PBEsol-optimized structure of LiZrCo2.

Values from the calculation:
space-group type: I-4m2
formation enthalpy at 0 K: 89 meV/atom

a b c (Å): 3.610 3.610 4.723
angles (deg): 112.47 112.47 90.00
Site moments in Bohr magnetons follow the coordinates.
Atoms (fractional coordinates):
Co  0.000  0.000  0.000  1.62
Co  0.750  0.250  0.500  0.57
Li  0.500  0.500  0.000  -0.02
Zr  0.250  0.750  0.500  -0.21

Density functional theory data (meta-GGA SCAN) for a PBEsol-optimized structure of LiZr2Co.

Values from the calculation:
space-group type: P2/m
formation enthalpy at 0 K: 82 meV/atom

a b c (Å): 3.237 3.273 6.386
angles (deg): 94.96 90.00 90.00
Atoms (fractional coordinates):
Co  0.500  0.500  0.500
Li  0.500  0.500  0.000
Zr  0.000  0.941  0.729
Zr  0.000  0.059  0.271

Density functional theory data (meta-GGA SCAN) for a PBEsol-optimized structure of LiZr2Co.

Values from the calculation:
space-group type: Fm-3m
formation enthalpy at 0 K: -35 meV/atom

a b c (Å): 4.505 4.508 4.508
angles (deg): 60.02 60.02 60.02
Site moments in Bohr magnetons follow the coordinates.
Atoms (fractional coordinates):
Co  0.000  0.500  0.500  1.16
Li  0.500  0.000  0.000  -0.02
Zr  0.250  0.750  0.750  -0.12
Zr  0.750  0.250  0.250  -0.12

Density functional theory data (meta-GGA SCAN) for a PBEsol-optimized structure of LiZrCo2.

Values from the calculation:
space-group type: I-42d
formation enthalpy at 0 K: 395 meV/atom

a b c (Å): 5.124 5.243 5.243
angles (deg): 76.19 60.75 60.75
Site moments in Bohr magnetons follow the coordinates.
Atoms (fractional coordinates):
Co  0.146  0.979  0.479  1.33
Co  0.604  0.021  0.521  1.33
Co  0.375  0.479  0.021  1.33
Co  0.875  0.521  0.979  1.33
Zr  0.750  0.500  0.500  -0.35
Zr  0.000  0.000  0.000  -0.35
Li  0.250  0.500  0.500  -0.03
Li  0.500  0.000  0.000  -0.03

Density functional theory data (meta-GGA SCAN) for a PBEsol-optimized structure of LiZrCo2.

Values from the calculation:
space-group type: Pmm2
formation enthalpy at 0 K: 188 meV/atom

a b c (Å): 2.749 3.667 5.266
angles (deg): 90.00 90.00 90.00
Site moments in Bohr magnetons follow the coordinates.
Atoms (fractional coordinates):
Co  0.000  0.000  0.026  1.51
Co  0.500  0.500  0.246  1.55
Li  0.000  0.000  0.458  -0.03
Zr  0.500  0.500  0.770  -0.19

Density functional theory data (meta-GGA SCAN) for a PBEsol-optimized structure of Lu4Co3.

Values from the calculation:
space-group type: P-3
formation enthalpy at 0 K: -175 meV/atom

a b c (Å): 3.883 10.810 10.810
angles (deg): 120.00 90.00 90.00
Site moments in Bohr magnetons follow the coordinates.
Atoms (fractional coordinates):
Lu  0.251  0.380  0.865  0.01
Lu  0.251  0.486  0.620  0.01
Lu  0.251  0.135  0.514  0.01
Lu  0.749  0.620  0.135  0.01
Lu  0.749  0.514  0.380  0.01
Lu  0.749  0.865  0.486  0.01
Lu  0.250  0.223  0.245  -0.04
Lu  0.250  0.022  0.777  -0.04
Lu  0.250  0.755  0.978  -0.04
Lu  0.750  0.777  0.755  -0.04
Lu  0.750  0.978  0.223  -0.04
Lu  0.750  0.245  0.022  -0.04
Co  0.248  0.667  0.333  -0.04
Co  0.752  0.333  0.667  -0.04
Co  0.252  0.718  0.564  0.00
Co  0.252  0.846  0.282  0.00
Co  0.252  0.436  0.154  0.00
Co  0.748  0.282  0.436  0.00
Co  0.748  0.154  0.718  0.00
Co  0.748  0.564  0.846  0.00
Co  0.500  0.000  0.000  0.77

Density functional theory data (meta-GGA SCAN) for a PBEsol-optimized structure of LuCoO3.

Values from the calculation:
space-group type: Pnma

a b c (Å): 4.959 5.412 7.172
angles (deg): 90.00 90.00 90.00
Atoms (fractional coordinates):
Lu  0.027  0.584  0.250
Lu  0.473  0.084  0.250
Lu  0.973  0.416  0.750
Lu  0.527  0.916  0.750
Co  0.500  0.500  0.500
Co  0.500  0.500  0.000
Co  0.000  0.000  0.000
Co  0.000  0.000  0.500
O  0.816  0.694  0.555
O  0.385  0.536  0.750
O  0.316  0.806  0.055
O  0.816  0.694  0.945
O  0.316  0.806  0.445
O  0.615  0.464  0.250
O  0.184  0.306  0.055
O  0.684  0.194  0.555
O  0.184  0.306  0.445
O  0.115  0.036  0.750
O  0.885  0.964  0.250
O  0.684  0.194  0.945

Density functional theory data (meta-GGA SCAN) for a PBEsol-optimized structure of Lu2Co2O7.

Values from the calculation:
space-group type: Fd-3m

a b c (Å): 6.793 6.793 6.793
angles (deg): 60.00 60.00 60.00
Site moments in Bohr magnetons follow the coordinates.
Atoms (fractional coordinates):
Lu  0.125  0.625  0.125  0.03
Lu  0.625  0.125  0.125  0.03
Lu  0.125  0.125  0.625  0.03
Lu  0.125  0.125  0.125  0.03
Co  0.125  0.625  0.625  0.64
Co  0.625  0.625  0.625  0.64
Co  0.625  0.125  0.625  0.64
Co  0.625  0.625  0.125  0.64
O  0.544  0.956  0.956  0.10
O  0.706  0.706  0.294  0.10
O  0.294  0.706  0.706  0.10
O  0.544  0.956  0.544  0.10
O  0.250  0.250  0.250  0.01
O  0.956  0.544  0.956  0.10
O  0.956  0.956  0.544  0.10
O  0.294  0.706  0.294  0.10
O  0.294  0.294  0.706  0.10
O  0.706  0.294  0.706  0.10
O  0.000  0.000  0.000  0.01
O  0.956  0.544  0.544  0.10
O  0.544  0.544  0.956  0.10
O  0.706  0.294  0.294  0.10

Per-record density of states at the Fermi level, states/eV/cell: 2.0 4.0 4.2 2.8 1.7 12.7 0.0 9.6
Per-record E_tot, eV per atom: -16.8349 -20.1910 -20.3076 -16.5295 -16.7367 -39.2167 -21.0574 -19.6733